# Er12Ga6Os, relaxed, DFT PBE-GGA
# E_form = -0.212 eV per atom
# Fermi-level density of states = 0.95 states/eV/atom
# DFT total energy = -0.1706 hartree per atom
data_Er12Ga6Os
_space_group_name_H-M_alt 'R -3'
_space_group_IT_number 148
_space_group_name_Hall '-R 3'
_cell_length_a 12.6805
_cell_length_b 12.6805
_cell_length_c 11.8370
_cell_angle_alpha 90.00
_cell_angle_beta 90.00
_cell_angle_gamma 120.00
loop_
_atom_site_label
_atom_site_type_symbol
_atom_site_fract_x
_atom_site_fract_y
_atom_site_fract_z
_atom_site_occupancy
Er1 Er 0.0358 0.2112 0.3934 1
Er2 Er 0.0453 0.2011 0.8837 1
Ga1 Ga 0.0502 0.2681 0.6463 1
Os1 Os 0.0000 0.0000 0.0000 1